Below is ScAg after structural relaxation, with properties calculated at the PBE level.

Cell and atoms, written as extended XYZ:
```
12
Lattice="8.031 0.000 0.000 -4.016 6.955 0.000 0.000 0.000 4.754" Properties=species:S:1:pos:R:3 pbc="T T T"
Sc 4.016 4.776 1.188
Sc -2.129 5.866 3.565
Sc 1.887 1.090 1.188
Sc 0.000 2.179 3.565
Sc 6.144 1.090 1.188
Sc 2.128 5.866 3.565
Ag 0.000 6.225 1.188
Ag 2.640 3.113 3.565
Ag -1.375 3.843 1.188
Ag 4.016 0.730 3.565
Ag 1.376 3.843 1.188
Ag 5.391 3.113 3.565
```

Summary:
Space-group type: P6_3/mmc
M_tot (μB per cell): 0.0
Total energy (eV per atom): -4.62